(1)
# Ba2PRh | Alexandria via LeMat-Bulk | PBE | relaxed
data_Ba2PRh
_cell_length_a 5.258
_cell_length_b 5.258
_cell_length_c 5.258
_cell_angle_alpha 60.00
_cell_angle_beta 60.00
_cell_angle_gamma 60.00
_space_group_name_H-M_alt 'P 1'
_space_group_IT_number 1
_space_group_name_Hall 'P 1'
loop_
_atom_site_label
_atom_site_type_symbol
_atom_site_fract_x
_atom_site_fract_y
_atom_site_fract_z
_atom_site_occupancy
Ba1 Ba 0.000 0.000 0.000 1
Ba2 Ba 0.250 0.250 0.250 1
P1 P 0.500 0.500 0.500 1
Rh1 Rh 0.750 0.750 0.750 1
# Crystal system ... cubic

=====

(2)
# Ba2PRh | Alexandria via LeMat-Bulk | PBE | relaxed
data_Ba2PRh
_cell_length_a 6.815
_cell_length_b 6.815
_cell_length_c 6.815
_cell_angle_alpha 103.99
_cell_angle_beta 103.99
_cell_angle_gamma 121.09
_space_group_name_H-M_alt 'P 1'
_space_group_IT_number 1
_space_group_name_Hall 'P 1'
loop_
_atom_site_label
_atom_site_type_symbol
_atom_site_fract_x
_atom_site_fract_y
_atom_site_fract_z
_atom_site_occupancy
Ba1 Ba 0.097 0.125 0.472 1
Ba2 Ba 0.375 0.903 0.028 1
Ba3 Ba 0.653 0.625 0.528 1
Ba4 Ba 0.875 0.347 0.972 1
P1 P 0.250 0.750 0.500 1
P2 P 0.500 0.500 0.000 1
Rh1 Rh 0.000 0.000 0.000 1
Rh2 Rh 0.750 0.250 0.500 1
# Crystal system ... tetragonal

=====

(3)
# Ba2PRh | Alexandria via LeMat-Bulk | PBE | relaxed
data_Ba2PRh
_cell_length_a 8.084
_cell_length_b 8.084
_cell_length_c 8.084
_cell_angle_alpha 31.48
_cell_angle_beta 31.48
_cell_angle_gamma 31.48
_space_group_name_H-M_alt 'P 1'
_space_group_IT_number 1
_space_group_name_Hall 'P 1'
loop_
_atom_site_label
_atom_site_type_symbol
_atom_site_fract_x
_atom_site_fract_y
_atom_site_fract_z
_atom_site_occupancy
Ba1 Ba 0.250 0.250 0.250 1
Ba2 Ba 0.750 0.750 0.750 1
P1 P 0.000 0.000 0.000 1
Rh1 Rh 0.500 0.500 0.500 1
# Crystal system ... trigonal

=====

(4)
# BaP3Rh | Alexandria via LeMat-Bulk | PBE | relaxed
data_BaP3Rh
_cell_length_a 5.489
_cell_length_b 5.489
_cell_length_c 5.489
_cell_angle_alpha 90.00
_cell_angle_beta 90.00
_cell_angle_gamma 90.00
_space_group_name_H-M_alt 'P 1'
_space_group_IT_number 1
_space_group_name_Hall 'P 1'
loop_
_atom_site_label
_atom_site_type_symbol
_atom_site_fract_x
_atom_site_fract_y
_atom_site_fract_z
_atom_site_occupancy
Ba1 Ba 0.000 0.000 0.000 1
P1 P 0.000 0.000 0.500 1
P2 P 0.000 0.500 0.000 1
P3 P 0.500 0.000 0.000 1
Rh1 Rh 0.500 0.500 0.500 1
# Crystal system ... cubic
# Energy above the most stable polymorph in this dataset ... 10.84 eV per formula unit

=====

(5)
# BaPRh2 | Alexandria via LeMat-Bulk | PBE | relaxed
data_BaPRh2
_cell_length_a 4.454
_cell_length_b 4.454
_cell_length_c 3.894
_cell_angle_alpha 90.00
_cell_angle_beta 90.00
_cell_angle_gamma 90.00
_space_group_name_H-M_alt 'P 1'
_space_group_IT_number 1
_space_group_name_Hall 'P 1'
loop_
_atom_site_label
_atom_site_type_symbol
_atom_site_fract_x
_atom_site_fract_y
_atom_site_fract_z
_atom_site_occupancy
Ba1 Ba 0.000 0.000 0.000 1
P1 P 0.500 0.500 0.000 1
Rh1 Rh 0.000 0.500 0.500 1
Rh2 Rh 0.500 0.000 0.500 1
# Crystal system ... tetragonal

=====

(6)
# BaPRh2 | Alexandria via LeMat-Bulk | PBE | relaxed
data_BaPRh2
_cell_length_a 4.064
_cell_length_b 4.064
_cell_length_c 5.499
_cell_angle_alpha 90.00
_cell_angle_beta 90.00
_cell_angle_gamma 90.00
_space_group_name_H-M_alt 'P 1'
_space_group_IT_number 1
_space_group_name_Hall 'P 1'
loop_
_atom_site_label
_atom_site_type_symbol
_atom_site_fract_x
_atom_site_fract_y
_atom_site_fract_z
_atom_site_occupancy
Ba1 Ba 0.000 0.000 0.000 1
P1 P 0.500 0.500 0.327 1
Rh1 Rh 0.000 0.500 0.514 1
Rh2 Rh 0.500 0.000 0.514 1
# Crystal system ... tetragonal

=====

(7)
# BaPRh2 | Alexandria via LeMat-Bulk | PBE | relaxed
data_BaPRh2
_cell_length_a 7.505
_cell_length_b 7.505
_cell_length_c 7.505
_cell_angle_alpha 154.97
_cell_angle_beta 152.83
_cell_angle_gamma 37.28
_space_group_name_H-M_alt 'P 1'
_space_group_IT_number 1
_space_group_name_Hall 'P 1'
loop_
_atom_site_label
_atom_site_type_symbol
_atom_site_fract_x
_atom_site_fract_y
_atom_site_fract_z
_atom_site_occupancy
Ba1 Ba 0.000 0.000 0.000 1
P1 P 0.767 0.267 0.500 1
Rh1 Rh 0.313 0.813 0.500 1
Rh2 Rh 0.653 0.653 0.000 1
# Crystal system ... orthorhombic

=====

(8)
# BaPRh2 | Alexandria via LeMat-Bulk | PBE | relaxed
data_BaPRh2
_cell_length_a 3.092
_cell_length_b 3.092
_cell_length_c 7.764
_cell_angle_alpha 90.00
_cell_angle_beta 90.00
_cell_angle_gamma 90.00
_space_group_name_H-M_alt 'P 1'
_space_group_IT_number 1
_space_group_name_Hall 'P 1'
loop_
_atom_site_label
_atom_site_type_symbol
_atom_site_fract_x
_atom_site_fract_y
_atom_site_fract_z
_atom_site_occupancy
Ba1 Ba 0.000 0.000 0.000 1
P1 P 0.000 0.000 0.500 1
Rh1 Rh 0.500 0.500 0.327 1
Rh2 Rh 0.500 0.500 0.673 1
# Crystal system ... tetragonal

=====

(9)
# Ba2PRh | Alexandria via LeMat-Bulk | PBE | relaxed
data_Ba2PRh
_cell_length_a 6.249
_cell_length_b 6.249
_cell_length_c 6.249
_cell_angle_alpha 137.03
_cell_angle_beta 137.03
_cell_angle_gamma 62.39
_space_group_name_H-M_alt 'P 1'
_space_group_IT_number 1
_space_group_name_Hall 'P 1'
loop_
_atom_site_label
_atom_site_type_symbol
_atom_site_fract_x
_atom_site_fract_y
_atom_site_fract_z
_atom_site_occupancy
Ba1 Ba 0.000 0.000 0.000 1
Ba2 Ba 0.750 0.250 0.500 1
P1 P 0.250 0.750 0.500 1
Rh1 Rh 0.500 0.500 0.000 1
# Crystal system ... tetragonal

=====

(10)
# BaP3Rh6 | Alexandria via LeMat-Bulk | PBE | relaxed
data_BaP3Rh6
_cell_length_a 6.437
_cell_length_b 6.437
_cell_length_c 6.437
_cell_angle_alpha 55.26
_cell_angle_beta 55.26
_cell_angle_gamma 55.26
_space_group_name_H-M_alt 'P 1'
_space_group_IT_number 1
_space_group_name_Hall 'P 1'
loop_
_atom_site_label
_atom_site_type_symbol
_atom_site_fract_x
_atom_site_fract_y
_atom_site_fract_z
_atom_site_occupancy
Ba1 Ba 0.000 0.000 0.000 1
P1 P 0.264 0.264 0.264 1
P2 P 0.604 0.604 0.604 1
P3 P 0.809 0.809 0.809 1
Rh1 Rh 0.034 0.527 0.537 1
Rh2 Rh 0.253 0.463 0.837 1
Rh3 Rh 0.463 0.837 0.253 1
Rh4 Rh 0.527 0.537 0.034 1
Rh5 Rh 0.537 0.034 0.527 1
Rh6 Rh 0.837 0.253 0.463 1
# Crystal system ... trigonal

=====

(11)
# Ba2PRh | Alexandria via LeMat-Bulk | PBE | relaxed
data_Ba2PRh
_cell_length_a 8.563
_cell_length_b 8.563
_cell_length_c 8.563
_cell_angle_alpha 152.44
_cell_angle_beta 149.15
_cell_angle_gamma 41.83
_space_group_name_H-M_alt 'P 1'
_space_group_IT_number 1
_space_group_name_Hall 'P 1'
loop_
_atom_site_label
_atom_site_type_symbol
_atom_site_fract_x
_atom_site_fract_y
_atom_site_fract_z
_atom_site_occupancy
Ba1 Ba 0.000 0.000 0.000 1
Ba2 Ba 0.770 0.270 0.500 1
P1 P 0.351 0.851 0.500 1
Rh1 Rh 0.421 0.421 0.000 1
# Crystal system ... orthorhombic

=====

(12)
# BaPRh2 | Alexandria via LeMat-Bulk | PBE | relaxed
data_BaPRh2
_cell_length_a 3.350
_cell_length_b 3.350
_cell_length_c 7.018
_cell_angle_alpha 90.00
_cell_angle_beta 90.00
_cell_angle_gamma 90.00
_space_group_name_H-M_alt 'P 1'
_space_group_IT_number 1
_space_group_name_Hall 'P 1'
loop_
_atom_site_label
_atom_site_type_symbol
_atom_site_fract_x
_atom_site_fract_y
_atom_site_fract_z
_atom_site_occupancy
Ba1 Ba 0.000 0.000 0.000 1
P1 P 0.500 0.500 0.353 1
Rh1 Rh 0.000 0.000 0.463 1
Rh2 Rh 0.500 0.500 0.688 1
# Crystal system ... tetragonal

=====

E for the records above, in order: -4.25, -4.24, -4.28, -3.01, -5.29, -6.15, -5.73, -5.56, -4.26, -6.77, -4.77, -5.65 eV/atom
Theoretical density for the records above, in order: 6.6, 5.7, 5.3, 3.3, 8.0, 6.8, 7.6, 8.4, 6.1, 8.4, 4.6, 7.9 g cm⁻³